VASP calculation (GGA-PBE) on a relaxed structure of SrPtO.

```
data_SrPtO
_symmetry_space_group_name_H-M 'P 1'
_symmetry_Int_Tables_number 1
_symmetry_space_group_name_Hall 'P 1'
_cell_length_a 6.215
_cell_length_b 3.521
_cell_length_c 9.977
_cell_angle_alpha 90.00
_cell_angle_beta 90.00
_cell_angle_gamma 90.00
loop_
_atom_site_label
_atom_site_type_symbol
_atom_site_fract_x
_atom_site_fract_y
_atom_site_fract_z
_atom_site_occupancy
Sr1 Sr 0.112 0.250 0.351 1
Sr2 Sr 0.388 0.750 0.851 1
Sr3 Sr 0.888 0.750 0.649 1
Sr4 Sr 0.612 0.250 0.149 1
O1 O 0.666 0.250 0.877 1
O2 O 0.834 0.750 0.377 1
O3 O 0.334 0.750 0.123 1
O4 O 0.166 0.250 0.623 1
Pt1 Pt 0.624 0.250 0.452 1
Pt2 Pt 0.876 0.750 0.952 1
Pt3 Pt 0.376 0.750 0.548 1
Pt4 Pt 0.124 0.250 0.048 1
```

Computed properties:
**Crystal system**: orthorhombic
**Raw formation energy**: -1.4109 eV/atom

***

VASP calculation (GGA-PBE) on a relaxed structure of SrPtO.

```
data_SrPtO
_symmetry_space_group_name_H-M 'P 1'
_symmetry_Int_Tables_number 1
_symmetry_space_group_name_Hall 'P 1'
_cell_length_a 4.466
_cell_length_b 4.466
_cell_length_c 7.492
_cell_angle_alpha 90.02
_cell_angle_beta 72.66
_cell_angle_gamma 120.00
loop_
_atom_site_label
_atom_site_type_symbol
_atom_site_fract_x
_atom_site_fract_y
_atom_site_fract_z
_atom_site_occupancy
Sr1 Sr 0.210 0.755 0.177 1
Sr2 Sr 0.114 0.207 0.821 1
Pt1 Pt 0.371 0.336 0.436 1
Pt2 Pt 0.683 0.992 0.468 1
O1 O 0.885 0.093 0.165 1
O2 O 0.473 0.886 0.783 1
```

Computed properties:
**Crystal system**: trigonal
**Raw formation energy**: -1.4205 eV/atom

***

VASP calculation (GGA-PBE) on a relaxed structure of Sr2PtO4.

```
data_Sr2PtO4
_symmetry_space_group_name_H-M 'P 1'
_symmetry_Int_Tables_number 1
_symmetry_space_group_name_Hall 'P 1'
_cell_length_a 5.554
_cell_length_b 5.554
_cell_length_c 13.763
_cell_angle_alpha 101.64
_cell_angle_beta 101.64
_cell_angle_gamma 90.00
loop_
_atom_site_label
_atom_site_type_symbol
_atom_site_fract_x
_atom_site_fract_y
_atom_site_fract_z
_atom_site_occupancy
Sr1 Sr 0.925 0.425 0.849 1
Sr2 Sr 0.175 0.175 0.349 1
Sr3 Sr 0.325 0.325 0.651 1
Sr4 Sr 0.075 0.575 0.151 1
Sr5 Sr 0.675 0.675 0.349 1
Sr6 Sr 0.425 0.925 0.849 1
Sr7 Sr 0.575 0.075 0.151 1
Sr8 Sr 0.825 0.825 0.651 1
Pt1 Pt 0.250 0.750 0.500 1
Pt2 Pt 0.500 0.500 0.000 1
Pt3 Pt 0.000 0.000 0.000 1
Pt4 Pt 0.750 0.250 0.500 1
O1 O 0.580 0.580 0.160 1
O2 O 0.330 0.830 0.660 1
O3 O 0.670 0.170 0.340 1
O4 O 0.920 0.920 0.840 1
O5 O 0.170 0.670 0.340 1
O6 O 0.420 0.420 0.840 1
O7 O 0.080 0.080 0.160 1
O8 O 0.830 0.330 0.660 1
O9 O 0.569 0.569 0.500 1
O10 O 0.681 0.819 0.000 1
O11 O 0.319 0.181 0.000 1
O12 O 0.931 0.931 0.500 1
O13 O 0.819 0.319 0.000 1
O14 O 0.431 0.069 0.500 1
O15 O 0.069 0.431 0.500 1
O16 O 0.181 0.681 0.000 1
```

Computed properties:
**Crystal system**: tetragonal
**Raw formation energy**: -1.8797 eV/atom

***

VASP calculation (GGA-PBE) on a relaxed structure of Sr3PtO4.

```
data_Sr3PtO4
_symmetry_space_group_name_H-M 'P 1'
_symmetry_Int_Tables_number 1
_symmetry_space_group_name_Hall 'P 1'
_cell_length_a 4.807
_cell_length_b 7.756
_cell_length_c 8.391
_cell_angle_alpha 90.00
_cell_angle_beta 90.00
_cell_angle_gamma 90.00
loop_
_atom_site_label
_atom_site_type_symbol
_atom_site_fract_x
_atom_site_fract_y
_atom_site_fract_z
_atom_site_occupancy
Sr1 Sr 0.561 0.908 0.000 1
Sr2 Sr 0.060 0.653 0.230 1
Sr3 Sr 0.560 0.347 0.270 1
Sr4 Sr 0.061 0.092 0.500 1
Sr5 Sr 0.560 0.347 0.730 1
Sr6 Sr 0.060 0.653 0.770 1
Pt1 Pt 0.047 0.285 0.000 1
Pt2 Pt 0.547 0.715 0.500 1
O1 O 0.060 0.824 0.000 1
O2 O 0.608 0.232 0.000 1
O3 O 0.060 0.297 0.244 1
O4 O 0.560 0.703 0.256 1
O5 O 0.108 0.768 0.500 1
O6 O 0.560 0.176 0.500 1
O7 O 0.560 0.703 0.744 1
O8 O 0.060 0.297 0.756 1
```

Computed properties:
**Crystal system**: orthorhombic
**Raw formation energy**: -1.9631 eV/atom

***

VASP calculation (GGA-PBE) on a relaxed structure of SrPtO.

```
data_SrPtO
_symmetry_space_group_name_H-M 'P 1'
_symmetry_Int_Tables_number 1
_symmetry_space_group_name_Hall 'P 1'
_cell_length_a 5.064
_cell_length_b 5.608
_cell_length_c 5.019
_cell_angle_alpha 63.41
_cell_angle_beta 90.00
_cell_angle_gamma 82.01
loop_
_atom_site_label
_atom_site_type_symbol
_atom_site_fract_x
_atom_site_fract_y
_atom_site_fract_z
_atom_site_occupancy
Sr1 Sr 0.491 0.502 0.450 1
Sr2 Sr 0.023 0.288 0.057 1
Pt1 Pt 0.688 0.836 0.783 1
Pt2 Pt 0.155 0.947 0.728 1
O1 O 0.386 0.566 0.918 1
O2 O 0.019 0.356 0.523 1
```

Computed properties:
**Crystal system**: monoclinic
**Raw formation energy**: -1.4083 eV/atom

***

VASP calculation (GGA-PBE) on a relaxed structure of SrPtO2.

```
data_SrPtO2
_symmetry_space_group_name_H-M 'P 1'
_symmetry_Int_Tables_number 1
_symmetry_space_group_name_Hall 'P 1'
_cell_length_a 6.235
_cell_length_b 6.235
_cell_length_c 6.235
_cell_angle_alpha 37.09
_cell_angle_beta 37.09
_cell_angle_gamma 37.09
loop_
_atom_site_label
_atom_site_type_symbol
_atom_site_fract_x
_atom_site_fract_y
_atom_site_fract_z
_atom_site_occupancy
Sr1 Sr 0.500 0.500 0.500 1
O1 O 0.893 0.893 0.893 1
O2 O 0.107 0.107 0.107 1
Pt1 Pt 0.000 0.000 0.000 1
```

Computed properties:
**Crystal system**: trigonal
**Raw formation energy**: -1.4574 eV/atom